# 1
TcPCl2, optimized geometry, DFT PBE; formation energy without anion corrections = -29 kJ per mole of atoms; energy above the lowest structure with this stoichiometry = 140.5 meV/atom; E = -5.17 eV/atom; symmetry = P4mm (99)
1.0
3.151 0.000 0.000
0.000 3.151 0.000
0.000 0.000 8.681
Tc P Cl
1 1 2
Cartesian
0.000 0.000 0.000
1.576 1.576 0.922
0.000 0.000 6.417
1.576 1.576 2.977

=====

# 2
Tc2PCl, optimized geometry, DFT PBE; formation energy without anion corrections = 80 kJ per mole of atoms; energy above the lowest structure with this stoichiometry = 899.2 meV/atom; E = -6.17 eV/atom; symmetry = F-43m (216)
1.0
0.000 3.105 3.105
3.105 0.000 3.105
3.105 3.105 0.000
Tc P Cl
2 1 1
Cartesian
0.000 0.000 0.000
1.553 1.553 1.553
3.105 3.105 3.105
4.658 4.658 4.658

=====

Question: Which of these has the lowest E?
Answer: Tc2PCl

=====

Question: Among the records above, which one has the lowest formation energy without anion corrections?
Answer: TcPCl2

=====

Question: What is the E in the second record?
Answer: -6.17 eV/atom